An optimized crystal structure of MgIn3N, computed with GGA-PBE.

Cell: 5.360 5.360 5.360 Å, 90.00 90.00 90.00°
Positions (direct):
Mg: 0.000 0.000 0.000
In: 0.000 0.000 0.500
In: 0.000 0.500 0.000
In: 0.500 0.000 0.000
N: 0.500 0.500 0.500

Properties
Space group   Pm-3m, No. 221
Uncorrected formation energy   1.46 eV per atom
Crystal system   cubic
DOS(E_F)   0.7193 states/eV per atom
Total moment   0.00 μB per formula unit
Polymorph energy (0 for the lowest one)   1020 meV per atom

---

An optimized crystal structure of YOsN2O, computed with GGA-PBE.

Cell: 4.419 4.419 4.147 Å, 90.00 90.00 90.00°
Positions (direct):
Y: 0.000 0.000 0.000
Os: 0.500 0.500 0.500
N: 0.000 0.500 0.000
N: 0.500 0.000 0.000
O: 0.000 0.000 0.500

Properties
Space group   P4/mmm, No. 123
Uncorrected formation energy   1.48 eV per atom
Crystal system   tetragonal
DOS(E_F)   1.1146 states/eV per atom
Total moment   3.47 μB per formula unit

---

An optimized crystal structure of PuPaFeCu, computed with GGA-PBE.

Cell: 4.762 4.762 4.762 Å, 60.00 60.00 60.00°
Positions (direct):
Pu: 0.000 0.000 0.000
Pa: 0.500 0.500 0.500
Fe: 0.250 0.250 0.250
Cu: 0.750 0.750 0.750

Properties
Space group   F-43m, No. 216
Crystal system   cubic
DOS(E_F)   2.0897 states/eV per atom
Total moment   4.99 μB per formula unit
Polymorph energy (0 for the lowest one)   194 meV per atom
Formation energy   0.11 eV per atom

---

An optimized crystal structure of CsPr2Sn3Te6, computed with GGA-PBE.

Cell: 10.387 10.387 9.784 Å, 97.73 97.73 26.95°
Positions (direct):
Cs: 0.000 0.000 0.000
Pr: 0.328 0.328 0.652
Pr: 0.672 0.672 0.348
Sn: 0.000 0.000 0.500
Sn: 0.334 0.334 0.225
Sn: 0.666 0.666 0.775
Te: 0.162 0.162 0.584
Te: 0.188 0.188 0.142
Te: 0.481 0.481 0.704
Te: 0.519 0.519 0.296
Te: 0.812 0.812 0.858
Te: 0.838 0.838 0.416

Properties
Space group   C2/m, No. 12
Uncorrected formation energy   -0.75 eV per atom
Crystal system   monoclinic
DOS(E_F)   0.2458 states/eV per atom
Total moment   0.00 μB per formula unit

---

An optimized crystal structure of LiDy4S6, computed with GGA-PBE.

Cell: 6.763 6.763 20.188 Å, 90.00 90.00 146.55°
Positions (direct):
Li: 0.178 0.822 0.750
Li: 0.822 0.178 0.250
Dy: 0.097 0.903 0.139
Dy: 0.097 0.903 0.361
Dy: 0.368 0.632 0.045
Dy: 0.368 0.632 0.455
Dy: 0.632 0.368 0.545
Dy: 0.632 0.368 0.955
Dy: 0.903 0.097 0.639
Dy: 0.903 0.097 0.861
S: 0.000 0.000 0.000
S: 0.000 0.000 0.500
S: 0.202 0.798 0.250
S: 0.275 0.725 0.581
S: 0.275 0.725 0.919
S: 0.461 0.539 0.162
S: 0.461 0.539 0.338
S: 0.539 0.461 0.662
S: 0.539 0.461 0.838
S: 0.725 0.275 0.081
S: 0.725 0.275 0.419
S: 0.798 0.202 0.750

Properties
Space group   Cmcm, No. 63
Uncorrected formation energy   -1.93 eV per atom
Crystal system   orthorhombic
DOS(E_F)   0.1799 states/eV per atom
Total moment   0.00 μB per formula unit

---

An optimized crystal structure of CdCoAu2, computed with GGA-PBE.

Cell: 4.984 4.984 4.991 Å, 102.20 102.20 34.35°
Positions (direct):
Cd: 0.000 0.000 0.000
Co: 0.500 0.500 0.500
Au: 0.236 0.236 0.735
Au: 0.764 0.764 0.265

Properties
Space group   C2/m, No. 12
Crystal system   monoclinic
DOS(E_F)   1.1919 states/eV per atom
Total moment   1.59 μB per formula unit
Formation energy   0.16 eV per atom

---

An optimized crystal structure of DyY8Tm6, computed with GGA-PBE.

Cell: 9.322 9.322 6.554 Å, 90.00 90.00 120.00°
Positions (direct):
Dy: 0.000 0.000 0.000
Y: 0.027 0.690 0.397
Y: 0.310 0.337 0.397
Y: 0.333 0.667 0.683
Y: 0.337 0.027 0.603
Y: 0.663 0.973 0.397
Y: 0.667 0.333 0.317
Y: 0.690 0.663 0.603
Y: 0.973 0.310 0.603
Tm: 0.087 0.409 0.095
Tm: 0.322 0.913 0.095
Tm: 0.409 0.322 0.905
Tm: 0.591 0.678 0.095
Tm: 0.678 0.087 0.905
Tm: 0.913 0.591 0.905

Properties
Space group   P-3, No. 147
Crystal system   trigonal
DOS(E_F)   1.5513 states/eV per atom
Total moment   0.00 μB per formula unit
Polymorph energy (0 for the lowest one)   63 meV per atom
Formation energy   0.25 eV per atom

---

An optimized crystal structure of BaAgCl2, computed with GGA-PBE.

Cell: 5.406 5.406 5.406 Å, 60.00 60.00 60.00°
Positions (direct):
Ba: 0.000 0.000 0.000
Ag: 0.750 0.750 0.750
Cl: 0.250 0.250 0.250
Cl: 0.500 0.500 0.500

Properties
Space group   F-43m, No. 216
Uncorrected formation energy   -1.06 eV per atom
Crystal system   cubic
DOS(E_F)   0.6167 states/eV per atom
Total moment   0.91 μB per formula unit
Polymorph energy (0 for the lowest one)   258 meV per atom